1.
# CeSm3Ho2As6 PBE relaxed
data_CeSm3Ho2As6
_chemical_formula_sum 'Ce2 Sm6 Ho4 As12'
_cell_length_a 7.2282
_cell_length_b 12.5181
_cell_length_c 7.2390
_cell_angle_alpha 90.00
_cell_angle_beta 109.45
_cell_angle_gamma 90.00
_space_group_name_H-M_alt 'C 1 2/m 1'
_space_group_IT_number 12
loop_
_space_group_symop_operation_xyz
'x,y,z'
'-x,-y,-z'
'-x,y,-z'
'x,-y,z'
'x+1/2,y+1/2,z'
'-x+1/2,-y+1/2,-z'
'-x+1/2,y+1/2,-z'
'x+1/2,-y+1/2,z'
loop_
_atom_site_label
_atom_site_type_symbol
_atom_site_fract_x
_atom_site_fract_y
_atom_site_fract_z
Ce1 Ce 0.0000 0.0000 0.0000
Sm1 Sm 0.0000 0.1663 0.5000
Sm2 Sm 0.0000 0.5000 0.5000
Ho1 Ho 0.0000 0.3333 0.0000
As1 As 0.2465 0.5000 0.2431
As2 As 0.2487 0.1673 0.2443
# crystal system	monoclinic


2.
# TbPm3Ag7 PBE relaxed
data_TbPm3Ag7
_chemical_formula_sum 'Tb4 Pm12 Ag28'
_cell_length_a 3.7992
_cell_length_b 21.1266
_cell_length_c 13.7808
_cell_angle_alpha 90.00
_cell_angle_beta 90.00
_cell_angle_gamma 90.00
_space_group_name_H-M_alt 'C m c m'
_space_group_IT_number 63
_space_group_name_Hall '-C 2c 2'
loop_
_atom_site_label
_atom_site_type_symbol
_atom_site_fract_x
_atom_site_fract_y
_atom_site_fract_z
Tb1 Tb 0.0000 0.0065 0.2500
Pm1 Pm 0.0000 0.1282 0.5369
Pm2 Pm 0.0000 0.2188 0.2500
Ag1 Ag 0.0000 0.2716 0.5675
Ag2 Ag 0.0000 0.3841 0.2500
Ag3 Ag 0.0000 0.3917 0.6483
Ag4 Ag 0.0000 0.4797 0.0907
# crystal system	orthorhombic


Number 1: Fermi-level density of states 0.46 states/eV per atom, DFT formation energy -1.51 eV per atom. Number 2: Fermi-level density of states 0.66 states/eV per atom, DFT formation energy -0.16 eV per atom.